DFT (PBE+U) results for a relaxed structure of LiFe2NiF.

Lattice parameters (Å, degrees): 4.3644 4.3644 3.5267 90.00 90.00 90.00
Closest atoms and distances in Å follow each position.
Atoms (fractional coordinates):
Li 0.0000 0.0000 0.0000  2 F 1.76
Fe 0.0000 0.5000 0.5000  2 F 2.18
Fe 0.5000 0.0000 0.5000  2 F 2.18
Ni 0.5000 0.5000 0.0000  8 Fe 2.81, 4 Li 3.09
F 0.0000 0.0000 0.5000  2 Li 1.76

Values from the calculation:
V ... 13.4 Å³/atom
Energy ... -3.46 eV/atom